No. 1
{"formula": "ZrFe2Rh", "functional": "GGA-PBE", "state": "relaxed", "formation_energy_ev_per_atom": -0.047, "n_ef_per_ev_cell": 3.7, "sg": "P2/m (10)", "cell": [[4.2394, 0.0000, 0.0000], [0.0000, 2.8333, 0.0039], [0.0000, 1.3473, 5.0479]], "species": ["Rh", "Zr", "Fe", "Fe"], "fractional_positions": [[0.5000, 0.2500, 0.2500], [0.5000, 0.7500, 0.7500], [0.0000, 0.0155, 0.0141], [0.0000, 0.4845, 0.4859]]}


No. 2
{"formula": "V6Ga7", "functional": "GGA-PBE", "state": "relaxed", "polymorph_energy_mev_per_atom": 27.6, "formation_energy_ev_per_atom": -0.153, "n_ef_per_ev_cell": 20.9, "sg": "Fmm2 (42)", "cell": [[9.1229, 0.0015, -0.0015], [4.5954, 6.4556, 0.0012], [4.5275, 0.0071, 6.4541]], "species": ["V", "V", "V", "V", "V", "V", "V", "V", "V", "V", "V", "V", "Ga", "Ga", "Ga", "Ga", "Ga", "Ga", "Ga", "Ga", "Ga", "Ga", "Ga", "Ga", "Ga", "Ga"], "fractional_positions": [[0.0042, 0.3556, 0.6439], [0.0005, 0.3500, 0.9995], [0.9962, 0.6439, 0.3556], [0.6444, 0.9958, 0.0038], [0.2131, 0.0019, 0.7869], [0.9981, 0.7869, 0.0019], [0.3392, 0.6608, 0.9947], [0.6439, 0.3561, 0.3561], [0.3561, 0.0038, 0.9958], [0.6500, 0.9995, 0.3500], [0.3497, 0.6503, 0.6503], [0.0053, 0.9947, 0.6608], [0.0000, 0.2839, 0.3459], [0.7965, 0.2035, 0.9975], [0.2824, 0.3760, 0.0000], [0.6582, 0.3418, 0.7111], [0.3702, 0.3459, 0.2839], [0.0025, 0.9975, 0.2035], [0.7161, 0.0000, 0.6298], [0.6240, 0.7176, 0.6584], [0.6541, 0.6298, 0.0000], [0.3416, 0.0000, 0.3760], [0.2889, 0.7111, 0.3418], [0.7206, 0.6560, 0.2794], [0.3440, 0.2794, 0.6560], [0.0000, 0.6584, 0.7176]]}